The following is a PBE-GGA calculation of BaMg2VTe after structural relaxation, from Alexandria.

a = 5.9437 Å, b = 5.9437 Å, c = 4.9490 Å
α = 90.00°, β = 90.00°, γ = 90.00°
With the nearest neighbours (Å) after each atom.
Sites, in units of the cell vectors:
Ba (0.0000, 0.0000, 0.0000)  2 V 2.47
Mg (0.0000, 0.5000, 0.0000)  2 Ba 2.97
Mg (0.5000, 0.0000, 0.0000)  2 Ba 2.97
V (0.0000, 0.0000, 0.5000)  2 Ba 2.47
Te (0.5000, 0.5000, 0.5000)  8 Mg 3.87, 4 V 4.20

E_form (uncorrected) = 1.567 eV per atom
spin magnetization = 0.178 μB/cell